A plane-wave DFT calculation with GGA+U was carried out for crystalline Na2CoSnO at its relaxed geometry.

Values from the calculation:
Total DFT energy (no corrections) in eV per atom: -3.759
Space-group type: P4/mmm, No. 123

POSCAR file:
```
Na2CoSnO
1.0
5.235 0.000 0.000
0.000 5.235 0.000
0.000 0.000 3.632
Na Co Sn O
2 1 1 1
Direct
0.000 0.500 0.000
0.500 0.000 0.000
0.000 0.000 0.500
0.500 0.500 0.500
0.000 0.000 0.000
```